[1]
Compound: Er2S2O
Source: the Alexandria database
Functional: meta-GGA SCAN
Structure: single point on PBEsol structure

Cell lengths 8.0858, 6.7606, 6.7249 Å; angles 90.00, 99.76, 90.00 degrees
Last column: nearest neighbours and their distance in Å.
Fractional positions:
1 Er 0.0753 0.1449 0.3221  3 O 2.21-2.24
2 Er 0.0753 0.3551 0.8221  3 O 2.21-2.24
3 Er 0.3626 0.5537 0.2507  1 O 2.21
4 Er 0.3626 0.9463 0.7507  1 O 2.21
5 Er 0.6374 0.0537 0.2493  1 O 2.21
6 Er 0.6374 0.4463 0.7493  1 O 2.21
7 Er 0.9247 0.6449 0.1779  3 O 2.21-2.24
8 Er 0.9247 0.8551 0.6779  3 O 2.21-2.24
9 S 0.1821 0.6319 0.5768  4 Er 2.73-2.88
10 S 0.1821 0.8681 0.0768  4 Er 2.73-2.88
11 S 0.4235 0.2218 0.4700  5 Er 2.68-2.87
12 S 0.4235 0.2782 0.9700  5 Er 2.68-2.87
13 S 0.5765 0.7218 0.0300  5 Er 2.68-2.87
14 S 0.5765 0.7782 0.5300  5 Er 2.68-2.87
15 S 0.8179 0.1319 0.9232  4 Er 2.73-2.88
16 S 0.8179 0.3681 0.4232  4 Er 2.73-2.88
17 O 0.1166 0.0870 0.6500  4 Er 2.21-2.24
18 O 0.1166 0.4130 0.1500  4 Er 2.21-2.24
19 O 0.8834 0.5870 0.8500  4 Er 2.21-2.24
20 O 0.8834 0.9130 0.3500  4 Er 2.21-2.24

Properties
Its uncorrected formation energy is -2.9513 eV per atom. Its total magnetization is 0.000 μB/atom. For the volume, the calculation gives 18.115 A^3/atom.

=====

[2]
Compound: Er2SiSO4
Source: the Alexandria database
Functional: meta-GGA SCAN
Structure: single point on PBEsol structure

Cell lengths 8.0756, 8.0756, 6.7801 Å; angles 90.00, 90.00, 98.12 degrees
Last column: nearest neighbours and their distance in Å.
Fractional positions:
1 Er 0.1719 0.8281 0.9788  6 O 2.33-2.52
2 Er 0.1902 0.3098 0.7500  4 O 2.21-2.40
3 Er 0.3098 0.1902 0.2500  4 O 2.21-2.40
4 Er 0.3281 0.6719 0.4788  6 O 2.33-2.52
5 Er 0.6719 0.3281 0.5212  6 O 2.33-2.52
6 Er 0.6902 0.8098 0.7500  4 O 2.21-2.40
7 Er 0.8098 0.6902 0.2500  4 O 2.21-2.40
8 Er 0.8281 0.1719 0.0212  6 O 2.33-2.52
9 Si 0.0630 0.4370 0.2500  4 O 1.63
10 Si 0.4370 0.0630 0.7500  4 O 1.63
11 Si 0.5630 0.9370 0.2500  4 O 1.63
12 Si 0.9370 0.5630 0.7500  4 O 1.63
13 S 0.0071 0.9929 0.2547  4 Er 2.70-2.75
14 S 0.4929 0.5071 0.7547  4 Er 2.70-2.75
15 S 0.5071 0.4929 0.2453  4 Er 2.70-2.75
16 S 0.9929 0.0071 0.7453  4 Er 2.70-2.75
17 O 0.1084 0.6403 0.2383  1 Si 1.63
18 O 0.1183 0.3303 0.0626  1 Si 1.63
19 O 0.1403 0.6084 0.7383  1 Si 1.63
20 O 0.1697 0.3817 0.4374  1 Si 1.63
21 O 0.3303 0.1183 0.9374  1 Si 1.63
22 O 0.3597 0.8916 0.2383  1 Si 1.63
23 O 0.3817 0.1697 0.5626  1 Si 1.63
24 O 0.3916 0.8597 0.7383  1 Si 1.63
25 O 0.6084 0.1403 0.2617  1 Si 1.63
26 O 0.6183 0.8303 0.4374  1 Si 1.63
27 O 0.6403 0.1084 0.7617  1 Si 1.63
28 O 0.6697 0.8817 0.0626  1 Si 1.63
29 O 0.8303 0.6183 0.5626  1 Si 1.63
30 O 0.8597 0.3916 0.2617  1 Si 1.63
31 O 0.8817 0.6697 0.9374  1 Si 1.63
32 O 0.8916 0.3597 0.7617  1 Si 1.63

Properties
Its uncorrected formation energy is -3.3677 eV per atom. Its total magnetization is 0.000 μB/atom. For the volume, the calculation gives 13.679 A^3/atom.

=====

[3]
Compound: Er3Sb5O12
Source: the Alexandria database
Functional: meta-GGA SCAN
Structure: single point on PBEsol structure

Cell lengths 9.2101, 9.2101, 9.2101 Å; angles 109.47, 109.47, 109.47 degrees
Last column: nearest neighbours and their distance in Å.
Fractional positions:
1 Er 0.2500 0.5000 0.7500  4 O 2.21
2 Er 0.2500 0.7500 0.5000  4 O 2.21
3 Er 0.5000 0.2500 0.7500  4 O 2.21
4 Er 0.5000 0.7500 0.2500  4 O 2.21
5 Er 0.7500 0.2500 0.5000  4 O 2.21
6 Er 0.7500 0.5000 0.2500  4 O 2.21
7 Sb 0.0000 0.0000 0.5209  3 O 2.03
8 Sb 0.0000 0.2795 0.2795  4 O 1.98-2.19
9 Sb 0.0000 0.5209 0.0000  3 O 2.03
10 Sb 0.0000 0.7205 0.7205  4 O 1.98-2.19
11 Sb 0.2795 0.0000 0.2795  4 O 1.98-2.19
12 Sb 0.2795 0.2795 0.0000  4 O 1.98-2.19
13 Sb 0.4791 0.4791 0.4791  3 O 2.03
14 Sb 0.5209 0.0000 0.0000  3 O 2.03
15 Sb 0.7205 0.0000 0.7205  4 O 1.98-2.19
16 Sb 0.7205 0.7205 0.0000  4 O 1.98-2.19
17 O 0.0000 0.2034 0.4808  2 Sb 2.03-2.19
18 O 0.0000 0.4808 0.2034  2 Sb 2.03-2.19
19 O 0.0000 0.5015 0.7068  1 Sb 1.98, 2 Er 2.21
20 O 0.0000 0.7068 0.5015  1 Sb 1.98, 2 Er 2.21
21 O 0.2034 0.0000 0.4808  2 Sb 2.03-2.19
22 O 0.2034 0.4808 0.0000  2 Sb 2.03-2.19
23 O 0.2053 0.4985 0.4985  1 Sb 1.98, 2 Er 2.21
24 O 0.2775 0.7966 0.7966  2 Sb 2.03-2.19
25 O 0.2932 0.2932 0.7947  1 Sb 1.98, 2 Er 2.21
26 O 0.2932 0.7947 0.2932  1 Sb 1.98, 2 Er 2.21
27 O 0.4808 0.0000 0.2034  2 Sb 2.03-2.19
28 O 0.4808 0.2034 0.0000  2 Sb 2.03-2.19
29 O 0.4985 0.2053 0.4985  1 Sb 1.98, 2 Er 2.21
30 O 0.4985 0.4985 0.2053  1 Sb 1.98, 2 Er 2.21
31 O 0.5015 0.0000 0.7068  1 Sb 1.98, 2 Er 2.21
32 O 0.5015 0.7068 0.0000  1 Sb 1.98, 2 Er 2.21
33 O 0.5192 0.5192 0.7225  2 Sb 2.03-2.19
34 O 0.5192 0.7225 0.5192  2 Sb 2.03-2.19
35 O 0.7068 0.0000 0.5015  1 Sb 1.98, 2 Er 2.21
36 O 0.7068 0.5015 0.0000  1 Sb 1.98, 2 Er 2.21
37 O 0.7225 0.5192 0.5192  2 Sb 2.03-2.19
38 O 0.7947 0.2932 0.2932  1 Sb 1.98, 2 Er 2.21
39 O 0.7966 0.2775 0.7966  2 Sb 2.03-2.19
40 O 0.7966 0.7966 0.2775  2 Sb 2.03-2.19

Properties
Its uncorrected formation energy is -2.4378 eV per atom. Its total magnetization is 0.000 μB/atom. For the volume, the calculation gives 15.035 A^3/atom.